Density functional theory data (GGA-PBE) for a relaxed Ta3Co3HRu2 crystal.

Calculated values
Volume in A^3/atom: 13.3
E_tot in eV/atom: -8.768
Crystal system: hexagonal

Cell: 3.093 6.672 6.672 Å, 120.00 90.00 90.00°
Fractional coordinates of all 9 atoms:
Ta 0.000 0.000 0.368
Ta 0.000 0.632 0.632
Ta 0.000 0.368 0.000
Co 0.500 0.216 0.216
Co 0.500 0.000 0.784
Co 0.500 0.784 0.000
H 0.000 0.000 0.000
Ru 0.500 0.667 0.333
Ru 0.500 0.333 0.667